No. 1
Entry from the Alexandria database: a geometry-optimized Ca2TlAg2 structure (PBE-GGA).

Magnetic moment: 0.00 μB per formula unit
Energy of formation: -0.1505 eV/atom

Cell lengths 5.8746, 5.8746, 8.2613 Å; angles 90.00, 90.00, 90.00 degrees
Space group I4/mmm (No. 139)
Symmetry-distinct sites (fractional):
Ca 0.0000 0.5000 0.2500
Tl 0.0000 0.0000 0.0000
Ag 0.0000 0.0000 0.3431

---

No. 2
Entry from the Alexandria database: a geometry-optimized Ca2Tl8Ag structure (PBE-GGA).

Magnetic moment: 0.00 μB per formula unit
Energy of formation: -0.1431 eV/atom

Cell lengths 4.9974, 4.9974, 12.6336 Å; angles 90.00, 90.00, 90.00 degrees
Space group P4/mmm (No. 123)
Symmetry-distinct sites (fractional):
Ca 0.0000 0.0000 0.1860
Tl 0.0000 0.5000 0.0000
Tl 0.0000 0.5000 0.3682
Tl 0.5000 0.5000 0.1844
Ag 0.0000 0.0000 0.5000

---

No. 3
Entry from the Alexandria database: a geometry-optimized Ca11Tl9Ag4 structure (PBE-GGA).

Magnetic moment: 0.00 μB per formula unit
Energy of formation: -0.3784 eV/atom

Cell lengths 15.1889, 22.7528, 3.8743 Å; angles 90.00, 90.00, 90.00 degrees
Space group Cmmm (No. 65)
Symmetry-distinct sites (fractional):
Ca 0.0000 0.0000 0.0000
Ca 0.0000 0.1658 0.0000
Ca 0.0000 0.3610 0.0000
Ca 0.2155 0.5000 0.0000
Ca 0.2406 0.1722 0.0000
Tl 0.0000 0.5000 0.5000
Tl 0.1092 0.2623 0.5000
Tl 0.1382 0.0764 0.5000
Ag 0.1479 0.4028 0.5000

---

No. 4
Entry from the Alexandria database: a geometry-optimized Ca3Tl3Ag structure (PBE-GGA).

Magnetic moment: 0.00 μB per formula unit
Energy of formation: -0.2367 eV/atom

Cell lengths 10.5088, 10.7978, 7.2427 Å; angles 90.00, 90.00, 90.00 degrees
Space group Cmmm (No. 65)
Symmetry-distinct sites (fractional):
Ca 0.0000 0.0000 0.2466
Ca 0.2500 0.2500 0.2444
Tl 0.0000 0.2809 0.5000
Tl 0.1642 0.5000 0.0000
Tl 0.2114 0.5000 0.5000
Ag 0.0000 0.2549 0.0000

---

No. 5
Entry from the Alexandria database: a geometry-optimized Ca2Tl2Ag3 structure (PBE-GGA).

Magnetic moment: 0.00 μB per formula unit
Energy of formation: -0.2246 eV/atom

Cell lengths 11.3592, 4.5678, 7.2843 Å; angles 90.00, 111.01, 90.00 degrees
Space group C2/m (No. 12)
Symmetry-distinct sites (fractional):
Ca 0.1282 0.0000 0.2587
Tl 0.1639 0.0000 0.7290
Ag 0.0000 0.5000 0.5000
Ag 0.0980 0.5000 0.9245

---

No. 6
Entry from the Alexandria database: a geometry-optimized Ca4Tl2Ag structure (PBE-GGA).

Energy relative to the lowest polymorph listed for this composition: 0 meV/atom
Magnetic moment: 0.00 μB per formula unit
Energy of formation: -0.2920 eV/atom

Cell lengths 5.3693, 5.3693, 26.4624 Å; angles 90.00, 90.00, 120.00 degrees
Space group R-3m (No. 166, hexagonal axes)
Symmetry-distinct sites (fractional):
Ca 0.0000 0.0000 0.1242
Ca 0.0000 0.0000 0.3740
Tl 0.0000 0.0000 0.2506
Ag 0.0000 0.0000 0.0000

---

No. 7
Entry from the Alexandria database: a geometry-optimized Ca3Tl2Ag structure (PBE-GGA).

Energy relative to the lowest polymorph listed for this composition: 0 meV/atom
Magnetic moment: 0.00 μB per formula unit
Energy of formation: -0.3905 eV/atom

Cell lengths 5.4163, 5.4163, 13.2489 Å; angles 90.00, 90.00, 120.00 degrees
Space group P-3m1 (No. 164)
Symmetry-distinct sites (fractional):
Ca 0.0000 0.0000 0.2451
Ca 0.3333 0.6667 0.4122
Ca 0.3333 0.6667 0.9180
Tl 0.0000 0.0000 0.0000
Tl 0.0000 0.0000 0.5000
Tl 0.3333 0.6667 0.6693
Ag 0.3333 0.6667 0.1653

---

No. 8
Entry from the Alexandria database: a geometry-optimized Ca6TlAg2 structure (PBE-GGA).

Magnetic moment: 0.00 μB per formula unit
Energy of formation: -0.2766 eV/atom

Cell lengths 9.9458, 10.2669, 11.1706 Å; angles 90.00, 90.00, 90.00 degrees
Space group Immm (No. 71)
Symmetry-distinct sites (fractional):
Ca 0.0000 0.1949 0.2428
Ca 0.2053 0.5000 0.1694
Ca 0.2178 0.3170 0.5000
Tl 0.0000 0.0000 0.0000
Tl 0.0000 0.0000 0.5000
Ag 0.0000 0.3499 0.0000
Ag 0.0000 0.5000 0.3717

---

No. 9
Entry from the Alexandria database: a geometry-optimized Ca7Tl2Ag2 structure (PBE-GGA).

Magnetic moment: 0.00 μB per formula unit
Energy of formation: -0.1619 eV/atom

Cell lengths 8.3997, 11.7141, 7.6516 Å; angles 90.00, 90.00, 90.00 degrees
Space group Cmmm (No. 65)
Symmetry-distinct sites (fractional):
Ca 0.0000 0.0000 0.0000
Ca 0.0000 0.5000 0.2503
Ca 0.2500 0.2500 0.2699
Tl 0.1795 0.0000 0.5000
Ag 0.0000 0.2913 0.0000

---

No. 10
Entry from the Alexandria database: a geometry-optimized Ca8Tl2Ag structure (PBE-GGA).

Energy relative to the lowest polymorph listed for this composition: 61 meV/atom
Magnetic moment: 0.00 μB per formula unit
Energy of formation: -0.1934 eV/atom

Cell lengths 5.3882, 9.1004, 14.7711 Å; angles 90.00, 90.00, 90.00 degrees
Space group Immm (No. 71)
Symmetry-distinct sites (fractional):
Ca 0.0000 0.0000 0.1323
Ca 0.0000 0.2165 0.3426
Ca 0.0000 0.3219 0.0000
Tl 0.0000 0.5000 0.1975
Ag 0.0000 0.5000 0.5000

---

No. 11
Entry from the Alexandria database: a geometry-optimized Ca3Tl2Ag7 structure (PBE-GGA).

Magnetic moment: 0.00 μB per formula unit
Energy of formation: -0.1820 eV/atom

Cell lengths 5.7665, 5.7665, 29.3576 Å; angles 90.00, 90.00, 120.00 degrees
Space group R-3m (No. 166, hexagonal axes)
Symmetry-distinct sites (fractional):
Ca 0.0000 0.0000 0.0000
Ca 0.0000 0.0000 0.1420
Tl 0.0000 0.0000 0.3326
Ag 0.0000 0.0000 0.5000
Ag 0.0039 0.5020 0.9110

---

Repeat the seventh record exactly.
Entry from the Alexandria database: a geometry-optimized Ca3Tl2Ag structure (PBE-GGA).

Energy relative to the lowest polymorph listed for this composition: 0 meV/atom
Magnetic moment: 0.00 μB per formula unit
Energy of formation: -0.3905 eV/atom

Cell lengths 5.4163, 5.4163, 13.2489 Å; angles 90.00, 90.00, 120.00 degrees
Space group P-3m1 (No. 164)
Symmetry-distinct sites (fractional):
Ca 0.0000 0.0000 0.2451
Ca 0.3333 0.6667 0.4122
Ca 0.3333 0.6667 0.9180
Tl 0.0000 0.0000 0.0000
Tl 0.0000 0.0000 0.5000
Tl 0.3333 0.6667 0.6693
Ag 0.3333 0.6667 0.1653

---

Number 8 is which compound? Ca6TlAg2